Density functional theory data (GGA-PBE) for crystalline ScIrPbO6 at its relaxed geometry.

Structure (POSCAR):
```
ScIrPbO6
1.0
5.345 0.000 0.000
-2.673 4.629 0.000
0.000 0.000 9.663
Sc Ir Pb O
2 2 2 12
Direct
0.333 0.667 0.250 Sc
0.667 0.333 0.750 Sc
0.667 0.333 0.250 Ir
0.333 0.667 0.750 Ir
0.000 0.000 0.000 Pb
0.000 0.000 0.500 Pb
0.646 0.625 0.136 O
0.979 0.354 0.136 O
0.354 0.979 0.636 O
0.021 0.646 0.864 O
0.375 0.354 0.364 O
0.979 0.625 0.364 O
0.625 0.979 0.864 O
0.646 0.021 0.364 O
0.021 0.375 0.636 O
0.375 0.021 0.136 O
0.625 0.646 0.636 O
0.354 0.375 0.864 O
```

Raw formation energy   -1.49 eV per atom
Space group   P-31c, No. 163
Total magnetization   3.04 μB per cell
Uncorrected energy   -124.164 eV/cell
Mass density   7.51 Mg/m³

Density functional theory data (GGA-PBE) for crystalline IrPbSe2O8 at its relaxed geometry.

Structure (POSCAR):
```
IrPbSe2O8
1.0
4.979 -0.961 -0.016
1.444 4.860 -0.016
0.271 0.164 6.660
Ir Pb Se O
1 1 2 8
Direct
0.000 0.000 0.000 Ir
0.000 0.000 0.500 Pb
0.577 0.577 0.232 Se
0.423 0.423 0.768 Se
0.785 0.168 0.777 O
0.733 0.733 0.032 O
0.688 0.688 0.447 O
0.312 0.312 0.553 O
0.267 0.267 0.968 O
0.168 0.785 0.777 O
0.832 0.215 0.223 O
0.215 0.832 0.223 O
```

Raw formation energy   -0.69 eV per atom
Space group   C2/m, No. 12
Total magnetization   1.02 μB per cell
Uncorrected energy   -67.500 eV/cell
Mass density   6.68 Mg/m³

Density functional theory data (GGA-PBE) for crystalline SmIrPbO6 at its relaxed geometry.

Structure (POSCAR):
```
SmIrPbO6
1.0
5.714 0.000 0.000
-2.857 4.949 0.000
0.000 0.000 9.495
Sm Ir Pb O
2 2 2 12
Direct
0.333 0.667 0.250 Sm
0.667 0.333 0.750 Sm
0.667 0.333 0.250 Ir
0.333 0.667 0.750 Ir
0.000 0.000 0.000 Pb
0.000 0.000 0.500 Pb
0.659 0.611 0.134 O
0.951 0.341 0.134 O
0.341 0.951 0.634 O
0.049 0.659 0.866 O
0.389 0.341 0.366 O
0.951 0.611 0.366 O
0.611 0.951 0.866 O
0.659 0.049 0.366 O
0.049 0.389 0.634 O
0.389 0.049 0.134 O
0.611 0.659 0.634 O
0.341 0.389 0.866 O
```

Raw formation energy   -1.43 eV per atom
Space group   P-31c, No. 163
Total magnetization   2.85 μB per cell
Uncorrected energy   -119.865 eV/cell
Mass density   7.99 Mg/m³

Density functional theory data (GGA-PBE) for crystalline SnIrPbO6 at its relaxed geometry.

Structure (POSCAR):
```
SnIrPbO6
1.0
-0.168 -7.145 1.252
5.120 -0.992 -4.971
1.370 4.652 5.705
Sn Ir Pb O
2 2 2 12
Direct
0.500 0.000 0.500 Sn
0.000 0.000 0.500 Sn
0.500 0.500 0.000 Ir
0.500 0.000 0.000 Ir
0.971 0.721 0.942 Pb
0.029 0.279 0.058 Pb
0.438 0.688 0.877 O
0.824 0.074 0.649 O
0.815 0.056 0.221 O
0.407 0.665 0.221 O
0.407 0.056 0.221 O
0.815 0.665 0.221 O
0.562 0.312 0.123 O
0.176 0.926 0.351 O
0.185 0.944 0.779 O
0.593 0.335 0.779 O
0.593 0.944 0.779 O
0.185 0.335 0.779 O
```

Raw formation energy   -0.91 eV per atom
Space group   Imma, No. 74
Total magnetization   4.46 μB per cell
Uncorrected energy   -108.968 eV/cell
Mass density   7.13 Mg/m³

Question: What is the formula in the first record?
Answer: ScIrPbO6